*P*
# NaAl4Ag

NaAl4Ag after structural relaxation (GGA-PBE, the Alexandria database).

Unit cell a=4.5210 b=5.2251 c=10.7122 alpha=104.03 beta=101.89 gamma=90.49
With the nearest neighbours (Å) after each atom.
Fractional positions:
1 Na 0.2504 0.2189 0.0004  8 Al 3.19-3.47, 2 Na 3.20-3.23
2 Na 0.7496 0.7811 0.9996  8 Al 3.19-3.47, 2 Na 3.20-3.23
3 Al 0.0790 0.9985 0.6594  3 Ag 2.72-2.82, 6 Al 2.73-2.94
4 Al 0.1410 0.5505 0.7825  6 Al 2.73-2.94, 1 Ag 2.91
5 Al 0.3594 0.7706 0.2173  6 Al 2.73-2.94, 1 Ag 2.91
6 Al 0.4204 0.3405 0.3412  3 Ag 2.72-2.81, 6 Al 2.73-2.94
7 Al 0.5796 0.6595 0.6588  3 Ag 2.72-2.81, 6 Al 2.73-2.94
8 Al 0.6406 0.2294 0.7827  6 Al 2.73-2.94, 1 Ag 2.91
9 Al 0.8590 0.4495 0.2175  6 Al 2.73-2.94, 1 Ag 2.91
10 Al 0.9210 0.0015 0.3406  3 Ag 2.72-2.82, 6 Al 2.73-2.94
11 Ag 0.0000 0.5000 0.5000  8 Al 2.72-2.91
12 Ag 0.5000 0.0000 0.5000  8 Al 2.72-2.91

Computed properties:
Total magnetization (μB/f.u.): 0.0
Calculated volume (Å³ per atom): 20.0
N(E_F) (states/eV per cell): 4.2

*Q*
# NaAl4Ag

NaAl4Ag after structural relaxation (GGA-PBE, the Alexandria database).

Unit cell a=5.4795 b=5.4795 c=5.4795 alpha=60.00 beta=60.00 gamma=60.00
With the nearest neighbours (Å) after each atom.
Fractional positions:
1 Na 0.0000 0.0000 0.0000  12 Al 3.21, 4 Ag 3.36
2 Al 0.1240 0.6253 0.6253  6 Al 2.73-2.75
3 Al 0.6253 0.1240 0.6253  6 Al 2.73-2.75
4 Al 0.6253 0.6253 0.1240  6 Al 2.73-2.75
5 Al 0.6253 0.6253 0.6253  6 Al 2.73-2.75
6 Ag 0.2500 0.2500 0.2500  12 Al 3.21, 4 Na 3.36

Computed properties:
Total magnetization (μB/f.u.): 0.0
Calculated volume (Å³ per atom): 19.4
N(E_F) (states/eV per cell): 2.6

We find *P* to be the most stable, with the next structure 0.023 eV/atom higher.

*P*
# NaAlAg3

NaAlAg3 after structural relaxation (GGA-PBE, the Alexandria database).

Unit cell a=5.9530 b=6.3728 c=6.9588 alpha=99.98 beta=115.29 gamma=107.94
With the nearest neighbours (Å) after each atom.
Fractional positions:
1 Na 0.0000 0.0000 0.0000  6 Ag 3.08-3.33, 2 Al 3.25-3.31
2 Na 0.4127 0.6177 0.1091  8 Ag 3.13-3.50, 2 Al 3.25-3.38
3 Al 0.0782 0.7095 0.3570  6 Ag 2.58-2.79, 1 Al 2.78
4 Al 0.7389 0.2418 0.2457  5 Ag 2.61-2.69, 1 Al 2.78
5 Ag 0.3467 0.4887 0.5726  1 Al 2.62, 4 Ag 2.85-2.93
6 Ag 0.4095 0.9500 0.8255  2 Al 2.61-2.79, 3 Ag 2.86-2.87
7 Ag 0.4966 0.1019 0.4796  2 Al 2.61-2.69, 3 Ag 2.86-2.90
8 Ag 0.7633 0.4311 0.9389  2 Al 2.58-2.66, 3 Ag 2.85-2.88
9 Ag 0.8669 0.5804 0.6105  2 Al 2.67, 4 Ag 2.85-2.86
10 Ag 0.9743 0.0451 0.5264  2 Al 2.63-2.64, 3 Ag 2.86-2.87

Computed properties:
Total magnetization (μB/f.u.): 0.0
Calculated volume (Å³ per atom): 21.2
N(E_F) (states/eV per cell): 2.7

*Q*
# NaAlAg3

NaAlAg3 after structural relaxation (GGA-PBE, the Alexandria database).

Unit cell a=7.1387 b=7.1387 c=5.3216 alpha=90.00 beta=90.00 gamma=131.40
With the nearest neighbours (Å) after each atom.
Fractional positions:
1 Na 0.1019 0.8981 0.7500  6 Ag 3.09-3.10
2 Na 0.8981 0.1019 0.2500  6 Ag 3.09-3.10
3 Al 0.5000 0.5000 0.0000  6 Ag 2.64-2.74, 2 Al 2.66
4 Al 0.5000 0.5000 0.5000  6 Ag 2.64-2.74, 2 Al 2.66
5 Ag 0.1067 0.3984 0.7500  2 Al 2.74, 5 Ag 2.76-3.06
6 Ag 0.3251 0.6749 0.2500  2 Al 2.64, 2 Ag 2.76
7 Ag 0.3984 0.1067 0.2500  2 Al 2.74, 5 Ag 2.76-3.06
8 Ag 0.6016 0.8933 0.7500  2 Al 2.74, 5 Ag 2.76-3.06
9 Ag 0.6749 0.3251 0.7500  2 Al 2.64, 2 Ag 2.76
10 Ag 0.8933 0.6016 0.2500  2 Al 2.74, 5 Ag 2.76-3.06

Computed properties:
Total magnetization (μB/f.u.): 0.0
Calculated volume (Å³ per atom): 20.3
N(E_F) (states/eV per cell): 2.6

We find *Q* to be the most stable, with the next structure 0.021 eV/atom higher.

*P*
# NaAlAg3

NaAlAg3 after structural relaxation (GGA-PBE, the Alexandria database).

Unit cell a=4.9653 b=4.9653 c=4.9653 alpha=90.00 beta=90.00 gamma=90.00
With the nearest neighbours (Å) after each atom.
Fractional positions:
1 Na 0.0000 0.0000 0.0000  6 Ag 2.48
2 Al 0.5000 0.5000 0.5000  12 Ag 3.51
3 Ag 0.0000 0.0000 0.5000  2 Na 2.48
4 Ag 0.0000 0.5000 0.0000  2 Na 2.48
5 Ag 0.5000 0.0000 0.0000  2 Na 2.48

Computed properties:
Total magnetization (μB/f.u.): 0.0
Calculated volume (Å³ per atom): 24.5
N(E_F) (states/eV per cell): 1.9

*Q*
# NaAlAg3

NaAlAg3 after structural relaxation (GGA-PBE, the Alexandria database).

Unit cell a=4.9811 b=4.9811 c=4.9811 alpha=90.00 beta=90.00 gamma=90.00
With the nearest neighbours (Å) after each atom.
Fractional positions:
1 Na 0.0000 0.0000 0.0000  12 Ag 3.52
2 Al 0.5000 0.5000 0.5000  6 Ag 2.49
3 Ag 0.0000 0.5000 0.5000  2 Al 2.49
4 Ag 0.5000 0.0000 0.5000  2 Al 2.49
5 Ag 0.5000 0.5000 0.0000  2 Al 2.49

Computed properties:
Total magnetization (μB/f.u.): 0.0
Calculated volume (Å³ per atom): 24.7
N(E_F) (states/eV per cell): 1.8

We find *Q* to be the most stable, with the next structure 0.666 eV/atom higher.

*P*
# Na3AlAg

Na3AlAg after structural relaxation (GGA-PBE, the Alexandria database).

Unit cell a=5.6993 b=5.6993 c=5.6993 alpha=90.00 beta=90.00 gamma=90.00
With the nearest neighbours (Å) after each atom.
Fractional positions:
1 Na 0.0000 0.0000 0.5000  2 Al 2.85
2 Na 0.0000 0.5000 0.0000  2 Al 2.85
3 Na 0.5000 0.0000 0.0000  2 Al 2.85
4 Al 0.0000 0.0000 0.0000  6 Na 2.85
5 Ag 0.5000 0.5000 0.5000  12 Na 4.03

Computed properties:
Total magnetization (μB/f.u.): 0.0
Calculated volume (Å³ per atom): 37.0
N(E_F) (states/eV per cell): 4.1

*Q*
# Na3AlAg

Na3AlAg after structural relaxation (GGA-PBE, the Alexandria database).

Unit cell a=5.5249 b=5.5249 c=5.5249 alpha=90.00 beta=90.00 gamma=90.00
With the nearest neighbours (Å) after each atom.
Fractional positions:
1 Na 0.0000 0.0000 0.5000  2 Ag 2.76
2 Na 0.0000 0.5000 0.0000  2 Ag 2.76
3 Na 0.5000 0.0000 0.0000  2 Ag 2.76
4 Al 0.5000 0.5000 0.5000  12 Na 3.91
5 Ag 0.0000 0.0000 0.0000  6 Na 2.76

Computed properties:
Total magnetization (μB/f.u.): 0.0
Calculated volume (Å³ per atom): 33.7
N(E_F) (states/eV per cell): 2.7

We find *Q* to be the most stable, with the next structure 0.156 eV/atom higher.

*P*
# NaAlAg4

NaAlAg4 after structural relaxation (GGA-PBE, the Alexandria database).

Unit cell a=8.1855 b=3.9807 c=7.3402 alpha=90.00 beta=90.00 gamma=90.00
With the nearest neighbours (Å) after each atom.
Fractional positions:
1 Na 0.2500 0.0000 0.1298  1 Al 2.98, 6 Ag 3.08-3.20
2 Na 0.7500 0.0000 0.8702  1 Al 2.98, 6 Ag 3.08-3.20
3 Al 0.2500 0.0000 0.7234  8 Ag 2.62-2.83
4 Al 0.7500 0.0000 0.2766  8 Ag 2.62-2.83
5 Ag 0.0000 0.0000 0.5000  2 Al 2.62, 4 Ag 2.88
6 Ag 0.0517 0.5000 0.8108  2 Al 2.65, 1 Ag 2.90
7 Ag 0.2500 0.5000 0.4492  2 Al 2.83, 8 Ag 2.88-3.12, 2 Na 3.08
8 Ag 0.4483 0.5000 0.8108  2 Al 2.65, 1 Ag 2.90
9 Ag 0.5000 0.0000 0.5000  2 Al 2.62, 4 Ag 2.88
10 Ag 0.5517 0.5000 0.1892  2 Al 2.65, 1 Ag 2.90
11 Ag 0.7500 0.5000 0.5508  2 Al 2.83, 8 Ag 2.88-3.12, 2 Na 3.08
12 Ag 0.9483 0.5000 0.1892  2 Al 2.65, 1 Ag 2.90

Computed properties:
Total magnetization (μB/f.u.): 0.0
Calculated volume (Å³ per atom): 19.9
N(E_F) (states/eV per cell): 3.0

*Q*
# NaAlAg4

NaAlAg4 after structural relaxation (GGA-PBE, the Alexandria database).

Unit cell a=5.5633 b=5.5633 c=5.5633 alpha=60.00 beta=60.00 gamma=60.00
With the nearest neighbours (Å) after each atom.
Fractional positions:
1 Na 0.0000 0.0000 0.0000  12 Ag 3.26, 4 Al 3.41
2 Al 0.7500 0.7500 0.7500  12 Ag 3.26, 4 Na 3.41
3 Ag 0.3751 0.3751 0.3751  6 Ag 2.78
4 Ag 0.3751 0.3751 0.8748  6 Ag 2.78
5 Ag 0.3751 0.8748 0.3751  6 Ag 2.78
6 Ag 0.8748 0.3751 0.3751  6 Ag 2.78

Computed properties:
Total magnetization (μB/f.u.): 0.0
Calculated volume (Å³ per atom): 20.3
N(E_F) (states/eV per cell): 5.4

We find *P* to be the most stable, with the next structure 0.074 eV/atom higher.

*P*
# RbNa2AlAg

RbNa2AlAg after structural relaxation (GGA-PBE, the Alexandria database).

Unit cell a=5.8831 b=5.8831 c=4.9995 alpha=90.00 beta=90.00 gamma=90.00
With the nearest neighbours (Å) after each atom.
Fractional positions:
1 Rb 0.0000 0.0000 0.0000  8 Na 3.86, 4 Al 4.16
2 Na 0.0000 0.5000 0.5000  2 Ag 2.94
3 Na 0.5000 0.0000 0.5000  2 Ag 2.94
4 Al 0.5000 0.5000 0.0000  2 Ag 2.50
5 Ag 0.5000 0.5000 0.5000  2 Al 2.50

Computed properties:
Total magnetization (μB/f.u.): 0.0
Calculated volume (Å³ per atom): 34.6
N(E_F) (states/eV per cell): 1.8

*Q*
# RbNa2AlAg

RbNa2AlAg after structural relaxation (GGA-PBE, the Alexandria database).

Unit cell a=5.9433 b=5.9433 c=5.0745 alpha=90.00 beta=90.00 gamma=90.00
With the nearest neighbours (Å) after each atom.
Fractional positions:
1 Rb 0.0000 0.0000 0.0000  8 Na 3.91, 4 Ag 4.20
2 Na 0.0000 0.5000 0.5000  2 Al 2.97
3 Na 0.5000 0.0000 0.5000  2 Al 2.97
4 Al 0.5000 0.5000 0.5000  2 Ag 2.54
5 Ag 0.5000 0.5000 0.0000  2 Al 2.54

Computed properties:
Total magnetization (μB/f.u.): 0.0
Calculated volume (Å³ per atom): 35.8
N(E_F) (states/eV per cell): 1.5

We find *P* to be the most stable, with the next structure 0.038 eV/atom higher.